A plane-wave DFT calculation with GGA-PBE was carried out for a relaxed TcNiB2N crystal.

Cell lengths 3.9927, 4.7124, 3.9927 Å; angles 90.00, 90.00, 90.00 degrees
Last column: nearest neighbours and their distance in Å.
Atoms (fractional coordinates):
B  0.0000  0.0000  0.5000  2 Tc 2.00
Tc  0.0000  0.0000  0.0000  4 B 2.00
B  0.5000  0.0000  0.0000  2 Tc 2.00
Ni  0.0000  0.5000  0.0000  2 Tc 2.36
N  0.5000  0.5000  0.5000  4 Ni 2.82, 8 B 3.09

Summary:
**Electronic total energy**: -5.30 eV per atom
**Formation energy without anion corrections**: 2261.4 meV/atom
**N(E_F)**: 3.999 states/eV/f.u.